La3Zn4Co2 | PBE-GGA | optimized geometry

The volume is 21.5 Å³ per atom. As for the energy: -4.02 eV per atom. The formation energy comes out at -2.09 eV/f.u. As for the density of states at the Fermi level: 6.98 states/eV/f.u.

The space group is C2/m (No. 12) and the conventional cell measures 11.433, 4.168 and 8.676 Å, with angles of 90.00, 110.52 and 90.00 degrees. The inequivalent atoms are La at (0.000, 0.000, 0.000), La at (0.186, 0.500, 0.648), Zn at (0.038, 0.000, 0.369), Zn at (0.219, 0.500, 0.060) and Co at (0.112, 0.500, 0.267).